1.
# PBE-GGA La2CeUN4, optimized geometry
# Volume   16.49 A^3/atom
# Energy relative to the elements, uncorrected   -11.5 eV/f.u.
data_La2CeUN4
_symmetry_space_group_name_H-M 'P 1 2/m 1'
_symmetry_Int_Tables_number 10
_cell_length_a 6.200
_cell_length_b 3.591
_cell_length_c 6.269
_cell_angle_alpha 90.00
_cell_angle_beta 109.04
_cell_angle_gamma 90.00
loop_
_symmetry_equiv_pos_as_xyz
'x,y,z'
'-x,-y,-z'
'-x,y,-z'
'x,-y,z'
loop_
_atom_site_label
_atom_site_fract_x
_atom_site_fract_y
_atom_site_fract_z
_atom_site_occupancy
La1 0.000 0.000 0.000 1
La2 0.500 0.500 0.000 1
Ce1 0.000 0.500 0.500 1
U1 0.500 0.000 0.500 1
N1 0.265 0.000 0.706 1
N2 0.285 0.500 0.298 1

***

2.
# PBE-GGA La2Ce3UN6, optimized geometry
# Volume   16.43 A^3/atom
# Energy relative to the elements, uncorrected   -17.3 eV/f.u.
data_La2Ce3UN6
_symmetry_space_group_name_H-M 'C 1 2/m 1'
_symmetry_Int_Tables_number 12
_cell_length_a 6.249
_cell_length_b 10.805
_cell_length_c 6.199
_cell_angle_alpha 90.00
_cell_angle_beta 109.61
_cell_angle_gamma 90.00
loop_
_symmetry_equiv_pos_as_xyz
'x,y,z'
'-x,-y,-z'
'-x,y,-z'
'x,-y,z'
'x+1/2,y+1/2,z'
'-x+1/2,-y+1/2,-z'
'-x+1/2,y+1/2,-z'
'x+1/2,-y+1/2,z'
loop_
_atom_site_label
_atom_site_fract_x
_atom_site_fract_y
_atom_site_fract_z
_atom_site_occupancy
La1 0.000 0.167 0.000 1
Ce1 0.000 0.000 0.500 1
Ce2 0.000 0.333 0.500 1
U1 0.000 0.500 0.000 1
N1 0.212 0.500 0.750 1
N2 0.226 0.355 0.241 1

***

3.
# PBE-GGA La2CeUN5, optimized geometry
# Volume   17.20 A^3/atom
# Energy relative to the elements, uncorrected   -11.6 eV/f.u.
data_La2CeUN5
_symmetry_space_group_name_H-M 'P 4/m m m'
_symmetry_Int_Tables_number 123
_symmetry_space_group_name_Hall '-P 4 2'
_cell_length_a 4.145
_cell_length_b 4.145
_cell_length_c 9.009
_cell_angle_alpha 90.00
_cell_angle_beta 90.00
_cell_angle_gamma 90.00
loop_
_atom_site_label
_atom_site_fract_x
_atom_site_fract_y
_atom_site_fract_z
_atom_site_occupancy
La1 0.000 0.000 0.232 1
Ce1 0.500 0.500 0.500 1
U1 0.500 0.500 0.000 1
N1 0.000 0.000 0.500 1
N2 0.000 0.500 0.000 1
N3 0.500 0.500 0.253 1

***

4.
# PBE-GGA LaCeVN4, optimized geometry
# Volume   13.42 A^3/atom
# Energy relative to the elements, uncorrected   -8.7 eV/f.u.
data_LaCeVN4
_symmetry_space_group_name_H-M 'C m c m'
_symmetry_Int_Tables_number 63
_symmetry_space_group_name_Hall '-C 2c 2'
_cell_length_a 5.407
_cell_length_b 12.762
_cell_length_c 5.445
_cell_angle_alpha 90.00
_cell_angle_beta 90.00
_cell_angle_gamma 90.00
loop_
_atom_site_label
_atom_site_fract_x
_atom_site_fract_y
_atom_site_fract_z
_atom_site_occupancy
La1 0.000 0.110 0.250 1
Ce1 0.000 0.394 0.250 1
V1 0.000 0.230 0.750 1
N1 0.000 0.088 0.750 1
N2 0.000 0.438 0.750 1
N3 0.250 0.250 0.000 1

***

5.
# PBE-GGA LaCeVN3, optimized geometry
# Volume   16.75 A^3/atom
# Energy relative to the elements, uncorrected   -7.3 eV/f.u.
data_LaCeVN3
_symmetry_space_group_name_H-M 'P 1 21/m 1'
_symmetry_Int_Tables_number 11
_cell_length_a 7.571
_cell_length_b 3.526
_cell_length_c 7.600
_cell_angle_alpha 90.00
_cell_angle_beta 97.72
_cell_angle_gamma 90.00
loop_
_symmetry_equiv_pos_as_xyz
'x,y,z'
'-x,-y,-z'
'-x,y+1/2,-z'
'x,-y+1/2,z'
loop_
_atom_site_label
_atom_site_fract_x
_atom_site_fract_y
_atom_site_fract_z
_atom_site_occupancy
La1 0.168 0.250 0.171 1
Ce1 0.366 0.750 0.826 1
V1 0.092 0.250 0.594 1
N1 0.120 0.250 0.842 1
N2 0.157 0.750 0.512 1
N3 0.405 0.750 0.129 1

***

6.
# PBE-GGA LaCe2VN4, optimized geometry
# Volume   15.66 A^3/atom
# Energy relative to the elements, uncorrected   -10.2 eV/f.u.
data_LaCe2VN4
_symmetry_space_group_name_H-M 'C m c m'
_symmetry_Int_Tables_number 63
_symmetry_space_group_name_Hall '-C 2c 2'
_cell_length_a 3.491
_cell_length_b 11.888
_cell_length_c 12.073
_cell_angle_alpha 90.00
_cell_angle_beta 90.00
_cell_angle_gamma 90.00
loop_
_atom_site_label
_atom_site_fract_x
_atom_site_fract_y
_atom_site_fract_z
_atom_site_occupancy
La1 0.000 0.092 0.250 1
Ce1 0.000 0.368 0.045 1
V1 0.000 0.169 0.750 1
N1 0.000 0.000 0.000 1
N2 0.000 0.264 0.629 1
N3 0.000 0.422 0.250 1

***

7.
# PBE-GGA LaCe2WN5, optimized geometry
# Volume   14.83 A^3/atom
# Energy relative to the elements, uncorrected   -9.6 eV/f.u.
data_LaCe2WN5
_symmetry_space_group_name_H-M 'P 4/m b m'
_symmetry_Int_Tables_number 127
_symmetry_space_group_name_Hall '-P 4 2ab'
_cell_length_a 6.741
_cell_length_b 6.741
_cell_length_c 5.874
_cell_angle_alpha 90.00
_cell_angle_beta 90.00
_cell_angle_gamma 90.00
loop_
_atom_site_label
_atom_site_fract_x
_atom_site_fract_y
_atom_site_fract_z
_atom_site_occupancy
La1 0.000 0.000 0.000 1
Ce1 0.171 0.329 0.500 1
W1 0.000 0.500 0.000 1
N1 0.000 0.000 0.500 1
N2 0.145 0.645 0.237 1

***

8.
# PBE-GGA LaCeWN4, optimized geometry
# Volume   14.21 A^3/atom
# Energy relative to the elements, uncorrected   -8.0 eV/f.u.
data_LaCeWN4
_symmetry_space_group_name_H-M 'C m c m'
_symmetry_Int_Tables_number 63
_symmetry_space_group_name_Hall '-C 2c 2'
_cell_length_a 5.612
_cell_length_b 12.584
_cell_length_c 5.636
_cell_angle_alpha 90.00
_cell_angle_beta 90.00
_cell_angle_gamma 90.00
loop_
_atom_site_label
_atom_site_fract_x
_atom_site_fract_y
_atom_site_fract_z
_atom_site_occupancy
La1 0.000 0.107 0.250 1
Ce1 0.000 0.398 0.250 1
W1 0.000 0.240 0.750 1
N1 0.000 0.084 0.750 1
N2 0.000 0.428 0.750 1
N3 0.250 0.250 0.000 1